Compound: TbCe2Ga
Source: Alexandria via LeMat-Bulk
Functional: PBE
Structure: optimized geometry

- Energy relative to the lowest polymorph listed for this composition: 5.2 kJ per mole of atoms
- E_form: -0.2360 eV per atom

Cell: 4.4736 4.4736 5.0414 Å, 90.00 90.00 90.00°
Space group P4/mmm (No. 123)
Inequivalent atoms, fractional coordinates:
Tb 0.0000 0.0000 0.0000
Ce 0.0000 0.5000 0.5000
Ga 0.5000 0.5000 0.0000